No. 1
Crystalline USiB2 at its relaxed geometry. Source: the Alexandria database, functional PBE-GGA.

abc: 3.6600 3.6600 4.6980
angles: 67.07 67.07 60.00
Positions (direct):
B (0.7193, 0.7193, 0.8420)
B (0.2807, 0.2807, 0.1580)
Si (0.0000, 0.0000, 0.0000)
U (0.5000, 0.5000, 0.5000)

Summary:
Its space group is No. 166.

No. 2
Crystalline Si2IrW at its relaxed geometry. Source: the Alexandria database, functional PBE-GGA.

abc: 6.5574 6.5574 5.4876
angles: 53.31 53.31 90.00
Positions (direct):
Si (0.6492, 0.1250, 0.2500)
Si (0.3750, 0.3508, 0.7500)
Si (0.1008, 0.6250, 0.2500)
Si (0.8750, 0.8992, 0.7500)
Ir (0.0000, 0.0000, 0.0000)
Ir (0.7500, 0.2500, 0.5000)
W (0.5000, 0.5000, 0.0000)
W (0.2500, 0.7500, 0.5000)

Summary:
As for the relative energy among the computed polymorphs: 65.1 kJ/mol of atoms. Its space group is No. 122.

Number 1: magnetic moment 0.0 Bohr magnetons per cell, ΔE_f (raw) 0.05 eV/atom. Number 2: magnetic moment 0.0 Bohr magnetons per cell, ΔE_f (raw) 0.37 eV/atom.